A relaxed structure of Tb5Ho12Mg2, computed with PBE.

abc: 9.033 9.033 8.303
angles: 90.83 90.83 60.73
Positions (direct):
Tb 0.000 0.000 0.000
Tb 0.234 0.234 0.077
Tb 0.299 0.299 0.488
Tb 0.701 0.701 0.512
Tb 0.766 0.766 0.923
Ho 0.033 0.666 0.258
Ho 0.085 0.085 0.387
Ho 0.181 0.567 0.831
Ho 0.334 0.967 0.742
Ho 0.433 0.819 0.169
Ho 0.443 0.443 0.168
Ho 0.557 0.557 0.832
Ho 0.567 0.181 0.831
Ho 0.666 0.033 0.258
Ho 0.819 0.433 0.169
Ho 0.915 0.915 0.613
Ho 0.967 0.334 0.742
Mg 0.329 0.671 0.500
Mg 0.671 0.329 0.500

Properties
crystal system = monoclinic
energy = -4.177 eV/atom


A relaxed structure of Tb4Ho8Mg, computed with PBE.

abc: 10.307 10.307 10.307
angles: 40.39 40.39 40.39
Positions (direct):
Tb 0.000 0.000 0.000
Tb 0.000 0.500 0.500
Tb 0.500 0.000 0.500
Tb 0.500 0.500 0.000
Ho 0.212 0.212 0.212
Ho 0.216 0.746 0.746
Ho 0.254 0.254 0.784
Ho 0.254 0.784 0.254
Ho 0.746 0.216 0.746
Ho 0.746 0.746 0.216
Ho 0.784 0.254 0.254
Ho 0.788 0.788 0.788
Mg 0.500 0.500 0.500

Properties
crystal system = trigonal
energy = -4.170 eV/atom


A relaxed structure of Tb2Ho3Mg, computed with PBE.

abc: 7.531 7.531 6.729
angles: 94.27 94.27 99.01
Positions (direct):
Tb 0.070 0.605 0.809
Tb 0.395 0.930 0.691
Tb 0.605 0.070 0.309
Tb 0.930 0.395 0.191
Ho 0.051 0.949 0.250
Ho 0.287 0.330 0.515
Ho 0.330 0.287 0.015
Ho 0.670 0.713 0.985
Ho 0.713 0.670 0.485
Ho 0.949 0.051 0.750
Mg 0.322 0.678 0.250
Mg 0.678 0.322 0.750

Properties
crystal system = monoclinic
energy = -3.960 eV/atom


A relaxed structure of Tb4Ho7Mg, computed with PBE.

abc: 6.569 6.789 8.688
angles: 79.40 78.80 80.05
Positions (direct):
Tb 0.130 0.284 0.323
Tb 0.196 0.787 0.317
Tb 0.804 0.213 0.683
Tb 0.870 0.716 0.677
Ho 0.042 0.248 0.974
Ho 0.314 0.403 0.626
Ho 0.335 0.894 0.677
Ho 0.500 0.500 0.000
Ho 0.665 0.106 0.323
Ho 0.686 0.597 0.374
Ho 0.958 0.752 0.026
Mg 0.500 0.000 0.000

Properties
crystal system = triclinic
energy = -4.286 eV/atom


A relaxed structure of Tb4HoMg, computed with PBE.

abc: 6.090 6.090 11.836
angles: 104.84 104.84 60.21
Positions (direct):
Tb 0.164 0.673 0.000
Tb 0.252 0.414 0.250
Tb 0.327 0.836 0.500
Tb 0.414 0.252 0.750
Tb 0.586 0.748 0.250
Tb 0.673 0.164 0.500
Tb 0.748 0.586 0.750
Tb 0.836 0.327 0.000
Ho 0.000 0.500 0.500
Ho 0.500 0.000 0.000
Mg 0.083 0.917 0.750
Mg 0.917 0.083 0.250

Properties
crystal system = monoclinic
energy = -4.096 eV/atom


A relaxed structure of Tb2Ho5Mg, computed with PBE.

abc: 3.545 8.591 16.362
angles: 81.11 83.79 89.95
Positions (direct):
Tb 0.020 0.308 0.458
Tb 0.230 0.321 0.041
Tb 0.770 0.679 0.959
Tb 0.980 0.692 0.542
Ho 0.172 0.618 0.154
Ho 0.294 0.032 0.911
Ho 0.372 0.718 0.756
Ho 0.424 0.370 0.654
Ho 0.453 0.014 0.593
Ho 0.547 0.986 0.407
Ho 0.576 0.630 0.346
Ho 0.628 0.282 0.244
Ho 0.706 0.968 0.089
Ho 0.828 0.382 0.846
Mg 0.124 0.941 0.252
Mg 0.876 0.059 0.748

Properties
crystal system = triclinic
energy = -4.164 eV/atom


One value per record, in order, for formation energy: 0.10 0.19 0.14 0.06 0.02 0.05 eV per atom.
One value per record, in order, for DOS at the Fermi energy: 1.56 1.29 1.22 1.42 1.41 1.41 states/eV per atom.